1.
RbAuI2N | GGA-PBE | relaxed

The space group is P4/mmm (No. 123) and the conventional cell measures 6.6979, 6.6979 and 4.3435 Å, with angles of 90.00, 90.00 and 90.00 degrees. The asymmetric unit holds Rb at (0.0000, 0.0000, 0.0000), Au at (0.5000, 0.5000, 0.5000), I at (0.0000, 0.5000, 0.0000) and N at (0.0000, 0.0000, 0.5000).

Its crystal system is tetragonal. The value obtained for the total energy is -1.603 eV/atom.

=====

2.
InCo2Br | GGA-PBE | relaxed

The space group is R-3m (No. 166, hexagonal axes) and the conventional cell measures 3.1752, 3.1752 and 23.0555 Å, with angles of 90.00, 90.00 and 120.00 degrees. The asymmetric unit holds In at (0.0000, 0.0000, 0.0000), Co at (0.0000, 0.0000, 0.2466) and Br at (0.0000, 0.0000, 0.5000).

Its crystal system is trigonal. The value obtained for the total energy is -4.152 eV/atom.

=====

3.
Th3PtC | GGA-PBE | relaxed

The space group is P2_1/m (No. 11) and the conventional cell measures 8.2220, 3.7932 and 8.2514 Å, with angles of 90.00, 103.92 and 90.00 degrees. The asymmetric unit holds Th at (0.0393, 0.2500, 0.2124), Th at (0.3287, 0.7500, 0.5516), Th at (0.3755, 0.7500, 0.1324), Pt at (0.2480, 0.2500, 0.8432) and C at (0.3535, 0.2500, 0.3406).

Its crystal system is monoclinic. The energy relative to the elements comes out at -596.5 meV/atom.

=====

4.
YHgTe3 | GGA-PBE | relaxed

The space group is Pm-3m (No. 221) and the conventional cell measures 5.5391, 5.5391 and 5.5391 Å, with angles of 90.00, 90.00 and 90.00 degrees. The asymmetric unit holds Y at (0.0000, 0.0000, 0.0000), Hg at (0.5000, 0.5000, 0.5000) and Te at (0.0000, 0.5000, 0.5000).

Its crystal system is cubic. The value obtained for the total energy is -3.145 eV/atom.

=====

5.
Tl2CdRe | GGA-PBE | relaxed

The space group is P4mm (No. 99) and the conventional cell measures 2.9498, 2.9498 and 10.8645 Å, with angles of 90.00, 90.00 and 90.00 degrees. The asymmetric unit holds Tl at (0.0000, 0.0000, 0.0000), Tl at (0.5000, 0.5000, 0.3271), Cd at (0.0000, 0.0000, 0.5867) and Re at (0.5000, 0.5000, 0.7784).

Its crystal system is tetragonal. The energy relative to the elements comes out at 699.8 meV/atom.

=====

6.
YLuOs4 | GGA-PBE | relaxed

The space group is F-43m (No. 216) and the conventional cell measures 7.5442, 7.5442 and 7.5442 Å, with angles of 90.00, 90.00 and 90.00 degrees. The asymmetric unit holds Y at (0.0000, 0.0000, 0.0000), Lu at (0.2500, 0.2500, 0.2500) and Os at (0.1249, 0.1249, 0.6249).

Its crystal system is cubic. The energy relative to the elements comes out at -298.3 meV/atom.

=====

7.
CeDy2Ag | GGA-PBE | relaxed

The space group is P4/mmm (No. 123) and the conventional cell measures 3.6092, 3.6092 and 8.2775 Å, with angles of 90.00, 90.00 and 90.00 degrees. The asymmetric unit holds Ce at (0.0000, 0.0000, 0.0000), Dy at (0.5000, 0.5000, 0.2810) and Ag at (0.0000, 0.0000, 0.5000).

Its crystal system is tetragonal. The energy relative to the elements comes out at -94.6 meV/atom.

=====

8.
BaAuI | GGA-PBE | relaxed

The space group is Cmcm (No. 63) and the conventional cell measures 4.4655, 18.8033 and 5.3091 Å, with angles of 90.00, 90.00 and 90.00 degrees. The asymmetric unit holds Ba at (0.0000, 0.1145, 0.2500), Au at (0.0000, 0.4907, 0.2500) and I at (0.0000, 0.3140, 0.2500).

Its crystal system is orthorhombic. The value obtained for the total energy is -3.405 eV/atom.

=====

9.
Cu2Ni6SN | GGA-PBE | relaxed

The space group is P-1 (No. 2) and the conventional cell measures 5.2286, 5.2358 and 5.8267 Å, with angles of 63.59, 63.64 and 60.28 degrees. The asymmetric unit holds Cu at (0.2475, 0.2436, 0.2652), Ni at (0.2347, 0.2396, 0.7930), Ni at (0.2356, 0.7326, 0.7922), Ni at (0.2735, 0.7614, 0.2029), S at (0.5000, 0.5000, 0.5000) and N at (0.0000, 0.0000, 0.0000).

Its crystal system is triclinic. The value obtained for the total energy is -5.506 eV/atom.

=====

10.
FeMoAs2 | GGA-PBE | relaxed

The space group is R3m (No. 160, hexagonal axes) and the conventional cell measures 2.8758, 2.8758 and 30.7730 Å, with angles of 90.00, 90.00 and 120.00 degrees. The asymmetric unit holds Fe at (0.0000, 0.0000, 0.0000), Mo at (0.0000, 0.0000, 0.2663), As at (0.0000, 0.0000, 0.5302) and As at (0.0000, 0.0000, 0.7254).

Its crystal system is trigonal. The energy relative to the elements comes out at 144.7 meV/atom.

=====

11.
UH2S3 | GGA-PBE | relaxed

The space group is Pmc2_1 (No. 26) and the conventional cell measures 3.7063, 9.9546 and 6.5908 Å, with angles of 90.00, 90.00 and 90.00 degrees. The asymmetric unit holds U at (0.0000, 0.1273, 0.0000), H at (0.0000, 0.1855, 0.5386), H at (0.5000, 0.3202, 0.2940), S at (0.0000, 0.2858, 0.6783), S at (0.5000, 0.0183, 0.2823) and S at (0.5000, 0.3296, 0.0879).

Its crystal system is orthorhombic. The value obtained for the total energy is -5.689 eV/atom.

=====

12.
DyBe2SiNi2 | GGA-PBE | relaxed

The space group is P4/mmm (No. 123) and the conventional cell measures 4.0238, 4.0238 and 5.3689 Å, with angles of 90.00, 90.00 and 90.00 degrees. The asymmetric unit holds Dy at (0.0000, 0.0000, 0.0000), Be at (0.0000, 0.5000, 0.5000), Si at (0.0000, 0.0000, 0.5000) and Ni at (0.5000, 0.5000, 0.2568).

Its crystal system is tetragonal. The value obtained for the total energy is -4.745 eV/atom.